PBE RbTl3Br8, relaxed; uncorrected energy = -0.188 Ry/atom; formation energy from raw total energies = -774 meV per atom; size of the total moment = 0.0 μB/f.u.; space group = C2/m
1.0
5.767 -4.169 0.000
5.767 4.169 0.000
-0.445 0.000 11.227
Rb Tl Br
1 3 8
direct
0.000 0.000 0.000
0.000 0.000 0.500
0.407 0.407 0.743
0.593 0.593 0.257
0.201 0.719 0.256
0.281 0.799 0.744
0.291 0.291 0.540
0.308 0.308 0.948
0.692 0.692 0.052
0.709 0.709 0.460
0.719 0.201 0.256
0.799 0.281 0.744

***

PBE RbTl4Br6, relaxed; uncorrected energy = -0.205 Ry/atom; formation energy from raw total energies = -931 meV per atom; size of the total moment = 0.0 μB/f.u.; space group = Cmcm
1.0
2.355 -7.675 0.000
2.355 7.675 0.000
0.000 0.000 22.903
Rb Tl Br
2 8 12
direct
0.182 0.818 0.750
0.818 0.182 0.250
0.078 0.922 0.128
0.078 0.922 0.372
0.348 0.652 0.046
0.348 0.652 0.454
0.652 0.348 0.546
0.652 0.348 0.954
0.922 0.078 0.628
0.922 0.078 0.872
0.000 0.000 0.000
0.000 0.000 0.500
0.140 0.860 0.250
0.278 0.722 0.600
0.278 0.722 0.900
0.448 0.552 0.164
0.448 0.552 0.336
0.552 0.448 0.664
0.552 0.448 0.836
0.722 0.278 0.100
0.722 0.278 0.400
0.860 0.140 0.750

***

PBE Rb2TlBr2, relaxed; uncorrected energy = -0.183 Ry/atom; formation energy from raw total energies = -956 meV per atom; size of the total moment = 1.0 μB/f.u.; space group = I4/mmm
1.0
6.195 0.000 0.000
0.000 6.195 0.000
0.000 0.000 13.934
Rb Tl Br
4 2 4
direct
0.000 0.000 0.163
0.000 0.000 0.837
0.500 0.500 0.337
0.500 0.500 0.663
0.000 0.000 0.500
0.500 0.500 0.000
0.000 0.500 0.250
0.000 0.500 0.750
0.500 0.000 0.250
0.500 0.000 0.750

***

PBE Rb2TlBr, relaxed; uncorrected energy = -0.158 Ry/atom; formation energy from raw total energies = -655 meV per atom; size of the total moment = 0.0 μB/f.u.; space group = R-3m
1.0
4.435 0.000 0.000
-2.218 3.841 0.000
0.000 0.000 35.481
Rb Tl Br
6 3 3
direct
0.000 0.000 0.103
0.000 0.000 0.897
0.333 0.667 0.563
0.333 0.667 0.770
0.667 0.333 0.230
0.667 0.333 0.437
0.000 0.000 0.000
0.333 0.667 0.667
0.667 0.333 0.333
0.000 0.000 0.500
0.333 0.667 0.167
0.667 0.333 0.833

***

PBE RbTlBr3, relaxed; uncorrected energy = -0.200 Ry/atom; formation energy from raw total energies = -1044 meV per atom; size of the total moment = 0.0 μB/f.u.; space group = Cm
1.0
8.292 0.000 0.000
0.000 8.273 0.000
-0.097 0.000 5.871
Rb Tl Br
2 2 6
direct
0.000 0.000 0.000
0.500 0.500 0.000
0.020 0.500 0.418
0.520 0.000 0.418
0.031 0.500 0.911
0.270 0.248 0.397
0.270 0.752 0.397
0.531 0.000 0.911
0.770 0.252 0.397
0.770 0.748 0.397

***

PBE RbTl2Br4, relaxed; uncorrected energy = -0.201 Ry/atom; formation energy from raw total energies = -966 meV per atom; size of the total moment = 0.0 μB/f.u.; space group = P2/m
1.0
8.184 0.000 0.000
0.000 4.773 0.000
-2.731 0.000 8.085
Rb Tl Br
1 2 4
direct
0.000 0.000 0.000
0.000 0.500 0.500
0.500 0.000 0.500
0.198 0.000 0.693
0.229 0.500 0.281
0.771 0.500 0.719
0.802 0.000 0.307